# BeCoSi2 (meta-GGA SCAN, PBEsol geometry)
# spin magnetization: 0.02 μB per atom
# V: 10.875 A^3/atom
# uncorrected formation energy: 0.274 eV per atom
# theoretical density: 4.74 g cm⁻³
# total energy: -10.148 eV/atom
data_BeCoSi2
_cell_length_a 5.5827
_cell_length_b 5.5827
_cell_length_c 5.5827
_cell_angle_alpha 90.00
_cell_angle_beta 90.00
_cell_angle_gamma 90.00
_symmetry_space_group_name_H-M 'F -4 3 m'
_symmetry_Int_Tables_number 216
_symmetry_space_group_name_Hall 'F -4 2 3'
loop_
_atom_site_label
_atom_site_type_symbol
_atom_site_fract_x
_atom_site_fract_y
_atom_site_fract_z
Be1 Be 0.0000 0.0000 0.0000
Co1 Co 0.2500 0.2500 0.2500
Si1 Si 0.0000 0.0000 0.5000
Si2 Si 0.2500 0.2500 0.7500